# Li2TmI6

A geometry-optimized Li2TmI6 structure (GGA-PBE, Alexandria).

abc: 14.264 4.495 13.347
angles: 90.00 120.78 90.00
Space group C2/m (No. 12)
Symmetry-distinct sites (fractional):
Li: 0.124 0.000 0.206
Tm: 0.000 0.000 0.500
I: 0.039 0.000 0.738
I: 0.133 0.500 0.091
I: 0.168 0.500 0.567

Calculated values
uncorrected formation energy = -1044 meV/atom
V = 735.2 Å³ per cell
total DFT energy (no corrections) = -2.999 eV/atom

# LiTmI4

A geometry-optimized LiTmI4 structure (GGA-PBE, Alexandria).

abc: 17.512 4.297 7.507
angles: 90.00 115.11 90.00
Space group C2/m (No. 12)
Symmetry-distinct sites (fractional):
Li: 0.000 0.000 0.000
Tm: 0.000 0.500 0.500
I: 0.103 0.500 0.931
I: 0.113 0.000 0.452

Calculated values
polymorph energy (0 for the lowest one) = 0 meV/atom
uncorrected formation energy = -1309 meV/atom
V = 511.5 Å³ per cell
total DFT energy (no corrections) = -3.407 eV/atom

# LiTmI4

A geometry-optimized LiTmI4 structure (GGA-PBE, Alexandria).

abc: 8.556 18.940 7.509
angles: 90.00 123.72 90.00
Space group C2/c (No. 15)
Symmetry-distinct sites (fractional):
Li: 0.000 0.079 0.250
Tm: 0.000 0.429 0.750
I: 0.244 0.451 0.234
I: 0.247 0.173 0.245

Calculated values
polymorph energy (0 for the lowest one) = 33 meV/atom
uncorrected formation energy = -1276 meV/atom
V = 1012.1 Å³ per cell
total DFT energy (no corrections) = -3.374 eV/atom

# Li5Tm3I12

A geometry-optimized Li5Tm3I12 structure (GGA-PBE, Alexandria).

abc: 17.431 17.431 17.431
angles: 90.00 90.00 90.00
Space group Ia-3d (No. 230)
Symmetry-distinct sites (fractional):
Li: 0.000 0.000 0.000
Li: 0.000 0.250 0.375
Tm: 0.000 0.250 0.125
I: 0.025 0.065 0.653

Calculated values
uncorrected formation energy = -1029 meV/atom
V = 5296.0 Å³ per cell
total DFT energy (no corrections) = -3.109 eV/atom

# Li2UI6

A geometry-optimized Li2UI6 structure (GGA-PBE, Alexandria).

abc: 7.4611 7.4611 15.1487
angles: 90.00 90.00 120.00
Space group P-31c (No. 163)
Symmetry-distinct sites (fractional):
Li: 0.0000 0.0000 0.2500
Li: 0.3333 0.6667 0.2500
U: 0.3333 0.6667 0.7500
I: 0.0013 0.3347 0.6356

Calculated values
polymorph energy (0 for the lowest one) = 0 meV/atom
uncorrected formation energy = -995 meV/atom
V = 730.3 Å³ per cell
total DFT energy (no corrections) = -3.708 eV/atom

# LiUI2

A geometry-optimized LiUI2 structure (GGA-PBE, Alexandria).

abc: 3.8867 3.8867 29.0941
angles: 90.00 90.00 120.00
Space group R-3m (No. 166, hexagonal axes)
Symmetry-distinct sites (fractional):
Li: 0.0000 0.0000 0.0000
U: 0.0000 0.0000 0.5000
I: 0.0000 0.0000 0.3946

Calculated values
uncorrected formation energy = -247 meV/atom
V = 380.6 Å³ per cell
total DFT energy (no corrections) = -4.323 eV/atom

# Li2UI6

A geometry-optimized Li2UI6 structure (GGA-PBE, Alexandria).

abc: 7.4631 7.4631 7.5809
angles: 90.00 90.00 120.00
Space group P-31m (No. 162)
Symmetry-distinct sites (fractional):
Li: 0.3333 0.6667 0.0000
U: 0.0000 0.0000 0.0000
I: 0.0000 0.3320 0.2284

Calculated values
polymorph energy (0 for the lowest one) = 0 meV/atom
uncorrected formation energy = -995 meV/atom
V = 365.7 Å³ per cell
total DFT energy (no corrections) = -3.708 eV/atom

# Li2UI6

A geometry-optimized Li2UI6 structure (GGA-PBE, Alexandria).

abc: 7.182 7.474 12.979
angles: 90.00 90.00 90.00
Space group Pnnm (No. 58)
Symmetry-distinct sites (fractional):
Li: 0.000 0.000 0.160
U: 0.000 0.500 0.000
I: 0.237 0.327 0.165
I: 0.240 0.832 0.000

Calculated values
polymorph energy (0 for the lowest one) = 23 meV/atom
uncorrected formation energy = -972 meV/atom
V = 696.7 Å³ per cell
total DFT energy (no corrections) = -3.685 eV/atom